Pm2MnZn2Pd5 after structural relaxation, computed with PBE.

Values from the calculation:
**DFT total energy**: -5.2868 eV/atom
**Size of the total moment**: 7.931 μB per cell
**Crystal system**: tetragonal
**Fermi-level density of states**: 9.09 states/eV/cell

Cell lengths 9.773, 9.773, 3.800 Å; angles 90.00, 90.00, 90.00 degrees
Positions (direct):
Pm 0.178 0.322 0.000
Pm 0.322 0.822 0.000
Pm 0.678 0.178 0.000
Pm 0.822 0.678 0.000
Mn 0.000 0.000 0.000
Mn 0.500 0.500 0.000
Zn 0.120 0.620 0.000
Zn 0.380 0.120 0.000
Zn 0.620 0.880 0.000
Zn 0.880 0.380 0.000
Pd 0.000 0.500 0.500
Pd 0.063 0.798 0.500
Pd 0.202 0.063 0.500
Pd 0.298 0.563 0.500
Pd 0.437 0.298 0.500
Pd 0.500 0.000 0.500
Pd 0.563 0.702 0.500
Pd 0.702 0.437 0.500
Pd 0.798 0.937 0.500
Pd 0.937 0.202 0.500